PaMnSb2O8: optimized geometry, PBE with a Hubbard U. Values from VASP.

```
&SYSTEM
  ibrav = 0, nat = 12, ntyp = 4
/
ATOMIC_SPECIES
Pa 231.04 Pa.upf
Mn 54.94 Mn.upf
Sb 121.76 Sb.upf
O 16.00 O.upf
ATOMIC_POSITIONS crystal
Pa 0.0000 0.0000 0.0000
Mn 0.0000 0.0000 0.5000
Sb 0.3333 0.6667 0.3284
Sb 0.6667 0.3333 0.6716
O 0.1524 0.3049 0.2345
O 0.1524 0.8476 0.2345
O 0.3049 0.1524 0.7655
O 0.3333 0.6667 0.6230
O 0.6667 0.3333 0.3770
O 0.6951 0.8476 0.2345
O 0.8476 0.1524 0.7655
O 0.8476 0.6951 0.7655
CELL_PARAMETERS angstrom
6.1083 0.0000 0.0000
-3.0542 5.2900 0.0000
0.0000 0.0000 6.2872
```

Values from the calculation:
Symmetry: P-3m1 (164)
E_tot (eV per atom): -7.117